1.
## Cu2SiNi (PBE)

Data for crystalline Cu2SiNi at its relaxed geometry.

Summary:
As for the formation energy (no corrections): -0.1847 eV/atom. Its space group is No. 44.

abc: 4.3760 4.3760 4.3760
angles: 131.50 131.37 71.12
Last column: nearest neighbours and their distance in Å.
Atoms (fractional coordinates):
Cu 0.0000 0.0000 0.0000  4 Ni 2.53, 4 Cu 2.53, 4 Si 2.54
Cu 0.7496 0.2496 0.5000  4 Si 2.53, 4 Cu 2.53, 4 Ni 2.54
Si 0.4998 0.4998 0.0000  4 Ni 2.53-2.54, 8 Cu 2.53-2.54
Ni 0.2505 0.7505 0.5000  4 Si 2.53-2.54, 8 Cu 2.53-2.54

2.
## DyThScCd (PBE)

Data for crystalline DyThScCd at its relaxed geometry.

Summary:
Its space group is No. 216. The value obtained for the energy above the lowest structure with this stoichiometry is 0.175 eV per atom.

abc: 5.3887 5.3887 5.3887
angles: 60.00 60.00 60.00
Last column: nearest neighbours and their distance in Å.
Atoms (fractional coordinates):
Dy 0.0000 0.0000 0.0000  4 Sc 3.30, 4 Cd 3.30
Th 0.5000 0.5000 0.5000  4 Sc 3.30, 4 Cd 3.30
Sc 0.7500 0.7500 0.7500  4 Th 3.30, 4 Dy 3.30
Cd 0.2500 0.2500 0.2500  4 Dy 3.30, 4 Th 3.30